The following is a DFT calculation (PBE) of a relaxed structure of Ba2Ga6Ru. Values from VASP.

```
&SYSTEM
  ibrav = 0, nat = 9, ntyp = 3
/
ATOMIC_SPECIES
Ga 69.72 Ga.upf
Ba 137.33 Ba.upf
Ru 101.07 Ru.upf
ATOMIC_POSITIONS angstrom
Ga 3.929 5.066 0.870
Ga 3.916 1.516 0.877
Ga 1.840 6.608 1.762
Ba 4.674 6.583 3.810
Ga 3.929 3.278 3.959
Ga 1.840 4.820 4.851
Ba 1.095 3.303 1.911
Ga 1.853 8.370 4.844
Ru 0.000 0.000 0.000
CELL_PARAMETERS angstrom
5.703 -0.027 -0.015
0.033 6.616 0.000
0.033 3.296 5.736
```

Values from the calculation:
energy of formation from the pure elements: -33.0 kJ/mol of atoms